Entry 1:
Crystalline LaTb2Dy3 at its relaxed geometry, computed with PBE.

The structure in POSCAR format:
```
LaTb2Dy3
1.0
-1.4165 1.7625 -2.6488
-8.7314 -0.0807 4.6155
8.2088 10.0743 2.3139
La Dy Tb
2 6 4
Cartesian
1.1023 7.6382 1.0589
-3.0413 4.1179 3.2218
0.2830 10.1352 3.1585
-2.0460 7.5063 2.6547
-1.7133 9.1379 5.8520
-2.2221 1.6210 1.1222
0.1069 4.2499 1.6260
-0.2258 2.6183 -1.5713
3.7514 9.2546 3.0074
-6.5318 5.0622 3.4272
4.5927 6.6940 0.8536
-5.6905 2.5015 1.2733
```

Properties
SG = No. 11
magnetization = 0.0 μB per formula unit
excess energy over the best structure of this formula in the dataset = 147 meV per atom
DOS at the Fermi energy = 10.65 states/eV/f.u.
energy of formation from the pure elements = 0.1594 eV per atom

---

Entry 2:
Crystalline La5Tb4Dy at its relaxed geometry, computed with PBE.

The structure in POSCAR format:
```
La5Tb4Dy
1.0
-0.5060 -0.2414 3.6569
-2.1427 -2.9755 -0.4929
20.2508 -14.8842 1.8199
Tb La Dy
4 5 1
Cartesian
8.0952 -5.9499 0.7275
12.1556 -8.9343 1.0924
16.2130 -11.9164 1.4570
4.0378 -2.9678 0.3629
8.8010 -9.0505 2.4920
12.8603 -12.0340 2.8568
0.6899 -3.0889 1.7631
16.9122 -15.0121 3.2209
4.7418 -6.0670 2.1272
0.0000 0.0000 0.0000
```

Properties
SG = No. 123
magnetization = 0.0 μB per formula unit
DOS at the Fermi energy = 16.92 states/eV/f.u.
energy of formation from the pure elements = 0.0224 eV per atom

---

Entry 3:
Crystalline La5Tb2Dy at its relaxed geometry, computed with PBE.

The structure in POSCAR format:
```
La5Tb2Dy
1.0
-5.4057 -1.0788 1.8153
5.7072 -1.6187 6.7726
-1.0263 11.0351 3.5024
Tb La Dy
4 10 2
Cartesian
-1.0786 -0.8503 5.5678
0.3539 9.1879 6.5225
0.6965 5.5038 5.3531
-1.4213 2.8338 6.7372
-0.1102 4.0464 2.0771
0.1672 1.0623 1.1301
1.5695 6.5962 8.6054
-0.8920 7.2753 10.9602
2.0465 2.7882 7.7685
-3.1073 9.1600 5.4678
2.3825 -0.8223 6.6225
-2.7713 5.5495 4.3218
-2.2942 1.7414 3.4849
-0.6146 4.2913 10.0132
1.1244 1.7680 4.4027
-1.8492 6.5696 7.6876
```

Properties
SG = No. 63
magnetization = 0.0 μB per formula unit
DOS at the Fermi energy = 12.48 states/eV/f.u.
energy of formation from the pure elements = 0.1269 eV per atom

---

Entry 4:
Crystalline LaTb5Dy7 at its relaxed geometry, computed with PBE.

The structure in POSCAR format:
```
LaTb5Dy7
1.0
6.2661 0.0000 2.2962
2.9946 8.0522 1.5260
0.3593 -0.1035 8.7174
Dy Tb La
7 5 1
Cartesian
5.7392 6.5203 3.7341
1.2878 2.4557 6.1837
5.0326 3.3667 5.6623
3.9940 1.1193 8.4966
4.1436 5.7932 8.0884
2.1740 5.1984 3.7653
2.4468 1.8730 3.0208
1.4072 3.7333 0.7221
4.7255 3.7333 1.9381
3.5060 -0.0408 5.2660
0.1877 -0.0408 4.0500
7.2760 5.7948 9.2381
6.1794 0.2367 2.5329
```

Properties
SG = No. 44
magnetization = 0.0 μB per formula unit
DOS at the Fermi energy = 22.84 states/eV/f.u.
energy of formation from the pure elements = 0.2418 eV per atom

---

Entry 5:
Crystalline La4TbDy4 at its relaxed geometry, computed with PBE.

The structure in POSCAR format:
```
La4TbDy4
1.0
5.1555 0.0000 0.0000
2.5778 7.6968 0.0000
2.5778 0.0000 7.6968
Dy Tb La
4 1 4
Cartesian
5.1555 2.5876 2.5887
7.7333 2.5887 5.1092
2.5778 5.1081 2.5876
5.1555 5.1092 5.1081
0.0000 0.0000 0.0000
7.7333 7.6951 5.1265
5.1555 5.1265 0.0017
5.1555 2.5703 7.6951
2.5778 0.0017 2.5703
```

Properties
SG = No. 139
magnetization = 0.0 μB per formula unit
excess energy over the best structure of this formula in the dataset = 0 meV per atom
DOS at the Fermi energy = 13.76 states/eV/f.u.
energy of formation from the pure elements = 0.0276 eV per atom

---

Entry 6:
Crystalline La3TbDy2 at its relaxed geometry, computed with PBE.

The structure in POSCAR format:
```
La3TbDy2
1.0
-3.2388 0.9945 -0.8456
-1.1027 -5.4810 -2.2226
-1.0514 -0.7062 10.4059
Tb Dy La
1 2 3
Cartesian
0.0000 0.0000 0.0000
-2.3408 -2.1427 6.4453
-3.0520 -3.0499 0.8923
-1.2108 -1.1083 3.3338
-4.1820 -4.0843 4.0038
-0.5513 -2.7405 -1.1113
```

Properties
SG = No. 71
magnetization = 0.0 μB per formula unit
excess energy over the best structure of this formula in the dataset = 306 meV per atom
DOS at the Fermi energy = 10.30 states/eV/f.u.
energy of formation from the pure elements = 0.3165 eV per atom

---

Entry 7:
Crystalline La3Tb2Dy at its relaxed geometry, computed with PBE.

The structure in POSCAR format:
```
La3Tb2Dy
1.0
3.4897 0.0000 0.0000
0.0000 6.0260 0.0000
-1.7449 -3.0130 9.8904
Tb Dy La
2 1 3
Cartesian
1.7449 3.0130 2.6990
0.0000 0.0000 7.1913
0.0000 0.0000 0.0000
1.7449 3.0130 6.1756
0.0000 3.0130 0.0000
0.0000 0.0000 3.7148
```

Properties
SG = No. 71
magnetization = 0.0 μB per formula unit
excess energy over the best structure of this formula in the dataset = 308 meV per atom
DOS at the Fermi energy = 10.28 states/eV/f.u.
energy of formation from the pure elements = 0.3178 eV per atom

---

Entry 8:
Crystalline La6Tb5Dy at its relaxed geometry, computed with PBE.

The structure in POSCAR format:
```
La6Tb5Dy
1.0
6.2448 -0.0356 0.1365
-0.0163 6.8495 2.8091
0.1117 0.0361 9.6753
Tb La Dy
5 6 1
Cartesian
-0.0081 3.4248 1.4046
4.2232 4.5670 8.4135
4.2337 1.1426 7.0094
2.1064 5.7074 5.6116
2.1170 2.2830 4.2074
5.2433 0.5535 3.5705
1.1055 2.8694 7.6453
5.2346 3.9806 4.9756
1.0969 6.2965 9.0505
3.1180 1.6918 0.7699
3.2222 5.1582 11.8510
0.0000 0.0000 0.0000
```

Properties
SG = No. 2
magnetization = 0.0 μB per formula unit
DOS at the Fermi energy = 18.97 states/eV/f.u.
energy of formation from the pure elements = 0.0224 eV per atom

---

Entry 9:
Crystalline LaTb7Dy3 at its relaxed geometry, computed with PBE.

The structure in POSCAR format:
```
LaTb7Dy3
1.0
4.7384 -0.1008 -2.9524
-1.0251 9.6504 -1.9744
-1.0789 -0.6822 8.8504
Tb Dy La
7 3 1
Cartesian
-0.3040 2.3371 4.7096
1.8297 -0.3915 2.9490
2.9384 6.5303 -0.7860
0.1029 1.5640 0.1118
0.0030 5.6036 5.0928
2.5315 7.3034 3.8117
2.6314 3.2638 -1.1693
3.1826 -0.1940 -0.1687
-0.5125 4.8252 -0.9872
-0.5483 9.0614 4.0923
1.3172 4.4337 1.9618
```

Properties
SG = No. 10
magnetization = 0.0 μB per formula unit
excess energy over the best structure of this formula in the dataset = 0 meV per atom
DOS at the Fermi energy = 16.13 states/eV/f.u.
energy of formation from the pure elements = 0.1365 eV per atom

---

Entry 10:
Crystalline LaTb3Dy12 at its relaxed geometry, computed with PBE.

The structure in POSCAR format:
```
LaTb3Dy12
1.0
5.0344 0.0000 0.0000
0.0000 5.0344 0.0000
0.0000 0.0000 20.1436
La Dy Tb
1 12 3
Cartesian
0.0000 0.0000 0.0000
2.5172 0.0000 7.5707
2.5172 2.5172 5.0802
2.5172 0.0000 17.5697
2.5172 0.0000 12.5729
0.0000 2.5172 17.5697
2.5172 2.5172 0.0000
0.0000 2.5172 2.5739
2.5172 2.5172 10.0718
2.5172 2.5172 15.0634
0.0000 2.5172 7.5707
0.0000 2.5172 12.5729
2.5172 0.0000 2.5739
0.0000 0.0000 5.0579
0.0000 0.0000 10.0718
0.0000 0.0000 15.0858
```

Properties
SG = No. 123
magnetization = 0.0 μB per formula unit
DOS at the Fermi energy = 22.05 states/eV/f.u.
energy of formation from the pure elements = 0.0215 eV per atom

---

Entry 11:
Crystalline La4Tb3Dy4 at its relaxed geometry, computed with PBE.

The structure in POSCAR format:
```
La4Tb3Dy4
1.0
3.5584 0.0000 -0.6554
-0.8586 8.2803 -4.6611
0.3866 1.3466 12.0854
Dy Tb La
4 3 4
Cartesian
1.6205 1.5302 -1.1891
0.4912 7.0486 2.6668
2.5951 2.5782 4.1021
1.0793 6.7500 -4.1274
-0.4293 4.1401 -2.3305
2.7237 8.4809 4.8000
0.3627 1.1460 1.9689
1.7100 7.1428 -0.7032
1.3763 2.4840 7.4721
2.0013 4.3335 0.8782
1.0851 5.2933 5.8907
```

Properties
SG = No. 71
magnetization = 0.0 μB per formula unit
excess energy over the best structure of this formula in the dataset = 59 meV per atom
DOS at the Fermi energy = 16.50 states/eV/f.u.
energy of formation from the pure elements = 0.1226 eV per atom

---

Entry 12:
Crystalline La5TbDy6 at its relaxed geometry, computed with PBE.

The structure in POSCAR format:
```
La5TbDy6
1.0
5.6932 0.0243 -1.6619
-1.0612 6.7963 -3.5352
-0.1383 0.8527 10.1235
La Dy Tb
5 6 1
Cartesian
3.5839 1.4537 1.7154
3.0420 4.8315 -0.0892
-0.5306 3.3981 -1.7676
0.9097 6.2196 3.2110
1.4517 2.8419 5.0156
4.5806 1.1464 5.1309
4.0424 4.6103 3.3268
0.4513 3.0630 1.5996
2.5899 1.6597 -1.6880
1.9037 6.0137 6.6144
-0.0869 6.5269 -0.2045
0.0000 0.0000 0.0000
```

Properties
SG = No. 12
magnetization = 0.0 μB per formula unit
DOS at the Fermi energy = 21.07 states/eV/f.u.
energy of formation from the pure elements = 0.0903 eV per atom

---

Entry 13:
Crystalline La8Tb5Dy at its relaxed geometry, computed with PBE.

The structure in POSCAR format:
```
La8Tb5Dy
1.0
8.6793 -0.0846 0.1454
-3.0163 8.1388 -0.1454
-2.6467 -4.1571 7.1465
La Tb Dy
8 5 1
Cartesian
0.9829 0.3582 3.1342
-0.0466 3.8403 5.9085
4.7161 0.6653 2.5002
6.0372 -2.0344 4.8332
-2.8124 4.0141 3.3015
-0.9408 5.6302 0.4172
2.0823 -0.6503 6.6342
2.0466 3.7652 1.8571
4.3701 6.5348 1.2696
-0.9924 1.9593 0.8768
3.0163 -2.1208 3.6460
3.1221 2.5613 5.1981
-0.4672 -3.2610 6.9485
-1.3234 0.9305 5.3236
```

Properties
SG = No. 82
magnetization = 0.0 μB per formula unit
DOS at the Fermi energy = 22.27 states/eV/f.u.
energy of formation from the pure elements = 0.2423 eV per atom

---

Entry 14:
Crystalline La2Tb15Dy2 at its relaxed geometry, computed with PBE.

The structure in POSCAR format:
```
La2Tb15Dy2
1.0
-5.7645 -0.6271 6.5651
1.8667 -8.0357 2.9439
5.1586 1.9936 6.7924
Tb La Dy
15 2 2
Cartesian
-0.4527 -5.7840 4.0445
4.1581 -1.0546 5.6227
-1.6461 -5.1326 7.0315
0.9334 -4.0178 1.4719
1.8388 1.1971 6.7233
-0.0901 -0.3920 8.8506
1.3510 -6.2772 7.4508
2.9070 -1.5366 9.2699
-2.8822 -0.3136 3.2826
-2.4446 0.1694 6.6342
-3.4451 -2.8788 5.4645
-2.2560 -2.7754 9.1625
3.5169 -3.8938 7.1389
2.8672 -4.9874 4.1136
2.5793 0.9968 3.3962
0.1484 -0.7852 1.9192
1.1124 -5.8840 14.3822
0.8452 -4.4706 10.9275
0.4157 -2.1986 5.3739
```

Properties
SG = No. 166
magnetization = 0.0 μB per formula unit
DOS at the Fermi energy = 31.93 states/eV/f.u.
energy of formation from the pure elements = 0.2869 eV per atom

---

Entry 15:
Crystalline LaTb3Dy3 at its relaxed geometry, computed with PBE.

The structure in POSCAR format:
```
LaTb3Dy3
1.0
-4.3181 2.2019 -3.0466
-3.8403 -8.7789 -0.9018
-2.4260 5.5702 7.4644
Dy Tb La
6 6 2
Cartesian
-5.1963 -6.7708 -0.2182
-6.0545 -2.3156 4.2183
-2.0945 -1.2498 -0.6242
-4.5300 1.3088 -0.7022
-5.3882 5.7640 3.7342
-8.4900 0.2430 4.1403
-3.6936 -0.1384 2.4456
-5.2880 0.9859 5.5181
-6.8908 -0.8684 1.0705
-7.6352 -4.1722 -0.2624
-5.2964 -1.9927 -2.0020
-2.9493 3.1655 3.7785
-4.4484 -3.4454 1.1253
-6.1360 2.4386 2.3908
```

Properties
SG = No. 176
magnetization = 0.0 μB per formula unit
excess energy over the best structure of this formula in the dataset = 0 meV per atom
DOS at the Fermi energy = 13.16 states/eV/f.u.
energy of formation from the pure elements = 0.0202 eV per atom

---

Entry 16:
Crystalline La9TbDy4 at its relaxed geometry, computed with PBE.

The structure in POSCAR format:
```
La9TbDy4
1.0
-1.5873 -11.3131 -1.5758
3.8474 -1.8079 9.1040
-9.8722 1.5339 -1.0678
La Tb Dy
18 2 8
Cartesian
-3.6619 -8.7536 3.2374
0.2600 -6.4367 6.2567
-3.9503 -2.8335 3.2231
-7.8722 -5.1505 0.2037
0.1063 -9.3391 3.6449
-4.8319 -10.7164 -0.0861
-7.1142 -10.8202 2.9581
-5.4188 -2.1434 -0.2520
-7.7185 -2.2480 2.8155
-2.1934 -9.4437 6.7124
-6.4148 -5.8354 3.6524
-8.5716 -10.1353 -0.4906
-4.1325 -5.7316 0.6082
-3.4797 -5.8556 5.8522
0.9595 -1.4518 6.9510
-2.7802 -0.8708 6.5465
-1.1974 -5.7518 2.8080
-0.4980 -0.7670 3.5023
-1.1226 -3.5223 5.3195
-6.4895 -8.0649 1.1409
0.0000 0.0000 0.0000
-2.1411 -2.6900 0.3706
-5.4711 -8.8971 6.0898
-6.1828 -2.8739 5.7616
-0.7937 -5.6566 -0.7879
-1.4294 -8.7133 0.6988
-8.7637 -1.6610 -0.3457
1.1516 -9.9261 6.8061
```

Properties
SG = No. 194
magnetization = 0.0 μB per formula unit
DOS at the Fermi energy = 23.08 states/eV/f.u.
energy of formation from the pure elements = 0.1430 eV per atom

---

Entry 17:
Crystalline La2Tb5Dy2 at its relaxed geometry, computed with PBE.

The structure in POSCAR format:
```
La2Tb5Dy2
1.0
-2.0074 2.8644 -0.2505
-6.3427 -4.6734 -2.6100
2.6566 0.7942 12.3358
Tb Dy La
5 2 2
Cartesian
-5.7423 -1.6746 2.3217
-2.5806 -1.7104 1.1223
0.0488 0.6599 7.1536
-3.1128 0.6957 8.3531
0.0000 0.0000 0.0000
-5.5191 -1.8001 -0.9012
-0.1744 0.7854 10.3766
-0.7738 -0.2070 3.8333
-4.9197 -0.8078 5.6420
```

Properties
SG = No. 12
magnetization = 0.0 μB per formula unit
excess energy over the best structure of this formula in the dataset = 9 meV per atom
DOS at the Fermi energy = 13.24 states/eV/f.u.
energy of formation from the pure elements = 0.2112 eV per atom

---

Entry 18:
Crystalline LaTbDy at its relaxed geometry, computed with PBE.

The structure in POSCAR format:
```
LaTbDy
1.0
3.6317 0.0000 0.0000
0.0000 5.1044 0.0000
-1.8158 -2.5522 5.4205
Tb Dy La
1 1 1
Cartesian
0.0000 0.0000 3.6378
1.8158 2.5522 5.3963
1.8158 2.5522 1.8070
```

Properties
SG = No. 44
magnetization = 0.0 μB per formula unit
excess energy over the best structure of this formula in the dataset = 6 meV per atom
DOS at the Fermi energy = 4.13 states/eV/f.u.
energy of formation from the pure elements = 0.0258 eV per atom

---

Entry 19:
Crystalline La5TbDy3 at its relaxed geometry, computed with PBE.

The structure in POSCAR format:
```
La5TbDy3
1.0
-8.6181 3.4680 1.4672
0.9566 -1.5281 9.2305
6.6359 5.6595 -4.5420
La Dy Tb
10 6 2
Cartesian
-3.8308 0.9699 5.3489
-0.2998 1.4130 6.9759
-4.5138 2.9952 8.6266
-1.6343 2.5216 2.5064
-0.7259 6.1864 -0.8202
3.4881 4.6042 -2.4709
0.6086 5.0778 3.6493
4.8227 3.4956 1.9985
0.0000 0.0000 0.0000
-5.8483 4.1038 4.1571
-0.5721 -0.2160 3.7636
-7.0894 2.1558 6.9341
-5.1496 1.9468 1.9072
-2.5120 -0.0069 8.7905
-2.4282 4.2847 5.7523
1.4026 3.3147 0.4034
-2.9065 5.0487 1.1370
1.8808 2.5507 5.0187
```

Properties
SG = No. 140
magnetization = 0.0 μB per formula unit
excess energy over the best structure of this formula in the dataset = 48 meV per atom
DOS at the Fermi energy = 15.88 states/eV/f.u.
energy of formation from the pure elements = 0.2960 eV per atom

---

Entry 20:
Crystalline La3Tb2Dy4 at its relaxed geometry, computed with PBE.

The structure in POSCAR format:
```
La3Tb2Dy4
1.0
-1.5788 -2.0552 -2.5266
-2.6871 -3.2387 6.9061
-9.3704 5.1486 1.6673
Dy La Tb
4 3 2
Cartesian
-2.9811 -1.8846 0.8033
-10.6551 1.7392 5.2435
-3.1012 1.6986 0.5562
-10.5351 -1.8440 5.4906
-6.1068 -0.1625 1.3557
0.0000 0.0000 0.0000
-7.5295 0.0171 4.6911
-4.3808 -1.7066 4.1257
-9.2555 1.5612 1.9211
```

Properties
SG = No. 12
magnetization = 0.0 μB per formula unit
excess energy over the best structure of this formula in the dataset = 0 meV per atom
DOS at the Fermi energy = 12.32 states/eV/f.u.
energy of formation from the pure elements = 0.0222 eV per atom